# YCdGa

YCdGa after structural relaxation (PBE, Alexandria via LeMat-Bulk).

## Properties
Spin magnetization, Bohr magnetons per cell: 0.000
D(E_F), states/eV/cell: 4.69
E, eV/atom: -3.81
Space-group type: P-1, No. 2

Cell and atoms, written as extended XYZ:
```
6
Lattice="-6.899 -0.723 -4.542 -2.705 -1.270 1.698 -2.316 5.161 0.185" Properties=species:S:1:pos:R:3 pbc="T T T"
Y -8.424 0.131 -2.386
Y -3.496 0.122 -1.527
Ga -4.414 1.129 1.237
Ga -5.628 3.739 1.275
Cd -8.080 3.420 -2.861
Cd -6.156 1.994 -0.868
```